A plane-wave DFT calculation with PBE+U was carried out for crystalline WF at its relaxed geometry.

Output
**DOS at the Fermi energy**: 2.4 states/eV/cell
**Volume**: 15.6 Å³/atom
**Energy**: -3.9882 eV/atom

a = 5.001 Å, b = 5.001 Å, c = 5.001 Å
α = 90.00°, β = 90.00°, γ = 90.00°
Fractional coordinates of all 8 atoms:
W1 0.000 0.000 0.000
W2 0.000 0.500 0.500
W3 0.500 0.000 0.500
W4 0.500 0.500 0.000
F1 0.250 0.250 0.250
F2 0.250 0.750 0.750
F3 0.750 0.250 0.750
F4 0.750 0.750 0.250